# Ga3MoPb PBE-GGA relaxed
data_Ga3MoPb
_chemical_formula_sum 'Ga3 Mo1 Pb1'
_cell_length_a 4.945
_cell_length_b 4.945
_cell_length_c 4.945
_cell_angle_alpha 90.00
_cell_angle_beta 90.00
_cell_angle_gamma 90.00
_symmetry_space_group_name_H-M 'P m -3 m'
_symmetry_Int_Tables_number 221
_symmetry_space_group_name_Hall '-P 4 2 3'
loop_
_atom_site_label
_atom_site_type_symbol
_atom_site_fract_x
_atom_site_fract_y
_atom_site_fract_z
Ga1 Ga 0.000 0.000 0.500
Mo1 Mo 0.000 0.000 0.000
Pb1 Pb 0.500 0.500 0.500
# E_form, eV/atom: 0.312
# Polymorph energy (0 for the lowest one), meV per atom: 0.0
# Density of states at the Fermi level, states/eV/atom: 0.606